ZrMn5 | Alexandria | PBE-GGA | optimized geometry; energy of formation = 0.1545 eV/atom; D(E_F) = 6.409 states/eV per cell; total magnetization = 4.374 μB/f.u.
1.0
1.517 -6.330 0.000
1.517 6.330 0.000
0.000 0.000 4.130
Zr Mn
1 5
direct
0.500 0.500 0.500
0.334 0.666 0.000
0.666 0.334 0.000
0.000 0.000 0.000
0.818 0.182 0.500
0.182 0.818 0.500